No. 1
Here is crystalline PrY6 at its relaxed geometry from Alexandria. Energies are from GGA-PBE.

Structure (CIF):
```
data_PrY6
_chemical_formula_sum 'Pr2 Y12'
_space_group_name_H-M_alt 'I m -3 m'
_space_group_IT_number 229
_space_group_name_Hall '-I 4 2 3'
_cell_length_a 8.047
_cell_length_b 8.047
_cell_length_c 8.047
_cell_angle_alpha 90.00
_cell_angle_beta 90.00
_cell_angle_gamma 90.00
loop_
_atom_site_label
_atom_site_type_symbol
_atom_site_fract_x
_atom_site_fract_y
_atom_site_fract_z
_atom_site_occupancy
Pr1 Pr 0.000 0.000 0.000 1
Y1 Y 0.000 0.250 0.500 1
```

---

No. 2
Here is crystalline Pr2Y3 at its relaxed geometry from Alexandria. Energies are from GGA-PBE.

Structure (CIF):
```
data_Pr2Y3
_chemical_formula_sum 'Pr8 Y12'
_space_group_name_H-M_alt 'C 1 2/c 1'
_space_group_IT_number 15
_cell_length_a 12.187
_cell_length_b 6.375
_cell_length_c 9.407
_cell_angle_alpha 90.00
_cell_angle_beta 110.44
_cell_angle_gamma 90.00
loop_
_space_group_symop_operation_xyz
'x,y,z'
'-x,-y,-z'
'-x,y,-z+1/2'
'x,-y,z+1/2'
'x+1/2,y+1/2,z'
'-x+1/2,-y+1/2,-z'
'-x+1/2,y+1/2,-z+1/2'
'x+1/2,-y+1/2,z+1/2'
loop_
_atom_site_label
_atom_site_type_symbol
_atom_site_fract_x
_atom_site_fract_y
_atom_site_fract_z
_atom_site_occupancy
Pr1 Pr 0.099 0.169 0.450 1
Y1 Y 0.000 0.333 0.750 1
Y2 Y 0.202 0.334 0.150 1
```

---

No. 3
Here is crystalline Pr5Y2 at its relaxed geometry from Alexandria. Energies are from GGA-PBE.

Structure (CIF):
```
data_Pr5Y2
_chemical_formula_sum 'Pr15 Y6'
_space_group_name_H-M_alt 'R -3 m'
_space_group_IT_number 166
_space_group_name_Hall '-R 3 2"'
_cell_length_a 5.8655
_cell_length_b 5.8655
_cell_length_c 24.8018
_cell_angle_alpha 90.00
_cell_angle_beta 90.00
_cell_angle_gamma 120.00
loop_
_atom_site_label
_atom_site_type_symbol
_atom_site_fract_x
_atom_site_fract_y
_atom_site_fract_z
_atom_site_occupancy
Pr1 Pr 0.0000 0.0000 0.0000 1
Pr2 Pr 0.0000 0.0000 0.2921 1
Pr3 Pr 0.0000 0.0000 0.4316 1
Y1 Y 0.0000 0.0000 0.1513 1
```

---

No. 4
Here is crystalline Pr7Y3 at its relaxed geometry from Alexandria. Energies are from GGA-PBE.

Structure (CIF):
```
data_Pr7Y3
_chemical_formula_sum 'Pr14 Y6'
_space_group_name_H-M_alt 'P 63 m c'
_space_group_IT_number 186
_space_group_name_Hall 'P 6c -2c'
_cell_length_a 11.8849
_cell_length_b 11.8849
_cell_length_c 5.8386
_cell_angle_alpha 90.00
_cell_angle_beta 90.00
_cell_angle_gamma 120.00
loop_
_atom_site_label
_atom_site_type_symbol
_atom_site_fract_x
_atom_site_fract_y
_atom_site_fract_z
_atom_site_occupancy
Pr1 Pr 0.0491 0.5246 0.0000 1
Pr2 Pr 0.1149 0.2299 0.9987 1
Pr3 Pr 0.3333 0.6667 0.9987 1
Y1 Y 0.2234 0.4469 0.4989 1
```

---

No. 5
Here is crystalline PrY5 at its relaxed geometry from Alexandria. Energies are from GGA-PBE.

Structure (CIF):
```
data_PrY5
_chemical_formula_sum 'Pr2 Y10'
_space_group_name_H-M_alt 'C m m m'
_space_group_IT_number 65
_space_group_name_Hall '-C 2 2'
_cell_length_a 5.813
_cell_length_b 18.071
_cell_length_c 3.803
_cell_angle_alpha 90.00
_cell_angle_beta 90.00
_cell_angle_gamma 90.00
loop_
_atom_site_label
_atom_site_type_symbol
_atom_site_fract_x
_atom_site_fract_y
_atom_site_fract_z
_atom_site_occupancy
Pr1 Pr 0.000 0.000 0.000 1
Y1 Y 0.000 0.182 0.500 1
Y2 Y 0.000 0.345 0.000 1
Y3 Y 0.000 0.500 0.500 1
```

---

No. 6
Here is crystalline Pr5Y at its relaxed geometry from Alexandria. Energies are from GGA-PBE.

Structure (CIF):
```
data_Pr5Y
_chemical_formula_sum 'Pr10 Y2'
_space_group_name_H-M_alt 'C 1 2/m 1'
_space_group_IT_number 12
_cell_length_a 11.685
_cell_length_b 5.223
_cell_length_c 7.386
_cell_angle_alpha 90.00
_cell_angle_beta 108.44
_cell_angle_gamma 90.00
loop_
_space_group_symop_operation_xyz
'x,y,z'
'-x,-y,-z'
'-x,y,-z'
'x,-y,z'
'x+1/2,y+1/2,z'
'-x+1/2,-y+1/2,-z'
'-x+1/2,y+1/2,-z'
'x+1/2,-y+1/2,z'
loop_
_atom_site_label
_atom_site_type_symbol
_atom_site_fract_x
_atom_site_fract_y
_atom_site_fract_z
_atom_site_occupancy
Pr1 Pr 0.000 0.000 0.000 1
Pr2 Pr 0.166 0.500 0.832 1
Pr3 Pr 0.167 0.500 0.335 1
Y1 Y 0.000 0.000 0.500 1
```

---

No. 7
Here is crystalline Pr7Y5 at its relaxed geometry from Alexandria. Energies are from GGA-PBE.

Structure (CIF):
```
data_Pr7Y5
_chemical_formula_sum 'Pr14 Y10'
_space_group_name_H-M_alt 'C 1 2/m 1'
_space_group_IT_number 12
_cell_length_a 9.842
_cell_length_b 5.897
_cell_length_c 14.936
_cell_angle_alpha 90.00
_cell_angle_beta 103.72
_cell_angle_gamma 90.00
loop_
_space_group_symop_operation_xyz
'x,y,z'
'-x,-y,-z'
'-x,y,-z'
'x,-y,z'
'x+1/2,y+1/2,z'
'-x+1/2,-y+1/2,-z'
'-x+1/2,y+1/2,-z'
'x+1/2,-y+1/2,z'
loop_
_atom_site_label
_atom_site_type_symbol
_atom_site_fract_x
_atom_site_fract_y
_atom_site_fract_z
_atom_site_occupancy
Pr1 Pr 0.000 0.000 0.000 1
Pr2 Pr 0.041 0.500 0.713 1
Pr3 Pr 0.183 0.000 0.583 1
Pr4 Pr 0.239 0.500 0.171 1
Y1 Y 0.000 0.500 0.500 1
Y2 Y 0.123 0.000 0.300 1
Y3 Y 0.141 0.500 0.940 1
```

---

No. 8
Here is crystalline PrY2 at its relaxed geometry from Alexandria. Energies are from GGA-PBE.

Structure (CIF):
```
data_PrY2
_chemical_formula_sum 'Pr2 Y4'
_space_group_name_H-M_alt 'C 1 2/m 1'
_space_group_IT_number 12
_cell_length_a 6.323
_cell_length_b 3.649
_cell_length_c 8.972
_cell_angle_alpha 90.00
_cell_angle_beta 103.65
_cell_angle_gamma 90.00
loop_
_space_group_symop_operation_xyz
'x,y,z'
'-x,-y,-z'
'-x,y,-z'
'x,-y,z'
'x+1/2,y+1/2,z'
'-x+1/2,-y+1/2,-z'
'-x+1/2,y+1/2,-z'
'x+1/2,-y+1/2,z'
loop_
_atom_site_label
_atom_site_type_symbol
_atom_site_fract_x
_atom_site_fract_y
_atom_site_fract_z
_atom_site_occupancy
Pr1 Pr 0.000 0.000 0.000 1
Y1 Y 0.221 0.000 0.663 1
```

---

E_form readings, ordered: 9.7, 0.1, 0.9, 1.4, 0.6, 0.1, 1.9, 0.0 eV per formula unit
Density of states at the Fermi level readings, ordered: 13.14, 34.96, 50.06, 18.45, 23.23, 18.96, 38.33, 7.86 states/eV/cell